# Sr2V3O9 PBE+U relaxed
data_Sr2V3O9
_chemical_formula_sum 'Sr4 V6 O18'
_cell_length_a 8.0881
_cell_length_b 8.0881
_cell_length_c 7.6990
_cell_angle_alpha 103.02
_cell_angle_beta 103.02
_cell_angle_gamma 117.66
_symmetry_space_group_name_H-M 'P 1'
_symmetry_Int_Tables_number 1
loop_
_symmetry_equiv_pos_as_xyz
'x,y,z'
loop_
_atom_site_label
_atom_site_type_symbol
_atom_site_fract_x
_atom_site_fract_y
_atom_site_fract_z
Sr1 Sr 0.0855 0.7546 0.7203
Sr2 Sr 0.2454 0.9145 0.2797
Sr3 Sr 0.7546 0.0855 0.7203
Sr4 Sr 0.9145 0.2454 0.2797
V1 V 0.2212 0.4460 0.8045
V2 V 0.3210 0.3210 0.1516
V3 V 0.4460 0.2212 0.8045
V4 V 0.5540 0.7788 0.1955
V5 V 0.6790 0.6790 0.8484
V6 V 0.7788 0.5540 0.1955
O1 O 0.0076 0.6100 0.3526
O2 O 0.1141 0.3101 0.9750
O3 O 0.1974 0.1974 0.2788
O4 O 0.2142 0.2142 0.6912
O5 O 0.3045 0.6955 0.0000
O6 O 0.3101 0.1141 0.9750
O7 O 0.3900 0.9924 0.6474
O8 O 0.4025 0.5873 0.7148
O9 O 0.4127 0.5975 0.2852
O10 O 0.5873 0.4025 0.7148
O11 O 0.5975 0.4127 0.2852
O12 O 0.6100 0.0076 0.3526
O13 O 0.6899 0.8859 0.0250
O14 O 0.6955 0.3045 0.0000
O15 O 0.7858 0.7858 0.3088
O16 O 0.8026 0.8026 0.7212
O17 O 0.8859 0.6899 0.0250
O18 O 0.9924 0.3900 0.6474
# - total magnetic moment (μB per cell) = 0.0
# - energy above the lowest structure with this stoichiometry (eV/f.u.) = 2.44
# - total DFT energy (no corrections) (eV per formula unit) = -101.00